(1)
Here is a geometry-optimized NaHfPb2 structure from the Alexandria database. Energies are from PBE.

DOS at the Fermi energy = 1.94 states/eV/f.u.
Formation enthalpy at 0 K = -1.70 kcal/mol of atoms
Crystal system = tetragonal
Space group = P4/mmm

```
NaHfPb2
1.0
3.328 0.000 0.000
0.000 3.328 0.000
0.000 0.000 9.408
Pb Na Hf
2 1 1
Cartesian
0.000 0.000 7.203 Pb
0.000 0.000 2.205 Pb
1.664 1.664 4.704 Na
1.664 1.664 0.000 Hf
```

=====

(2)
Here is a geometry-optimized NaHfPb2 structure from the Alexandria database. Energies are from PBE.

DOS at the Fermi energy = 4.53 states/eV/f.u.
Formation enthalpy at 0 K = 4.49 kcal/mol of atoms
Crystal system = cubic
Space group = Fm-3m

```
NaHfPb2
1.0
0.000 3.721 3.721
3.721 0.000 3.721
3.721 3.721 0.000
Pb Na Hf
2 1 1
Cartesian
1.861 1.861 1.861 Pb
5.582 5.582 5.582 Pb
0.000 0.000 0.000 Na
3.721 3.721 3.721 Hf
```

=====

(3)
Here is a geometry-optimized Na3HfPb structure from the Alexandria database. Energies are from PBE.

DOS at the Fermi energy = 10.57 states/eV/f.u.
Formation enthalpy at 0 K = 30.22 kcal/mol of atoms
Crystal system = cubic
Space group = Pm-3m

```
Na3HfPb
1.0
5.894 0.000 0.000
0.000 5.894 0.000
0.000 0.000 5.894
Pb Na Hf
1 3 1
Cartesian
2.947 2.947 2.947 Pb
0.000 2.947 0.000 Na
0.000 0.000 2.947 Na
2.947 0.000 0.000 Na
0.000 0.000 0.000 Hf
```

=====

(4)
Here is a geometry-optimized Na3HfPb structure from the Alexandria database. Energies are from PBE.

DOS at the Fermi energy = 6.43 states/eV/f.u.
Formation enthalpy at 0 K = 23.80 kcal/mol of atoms
Crystal system = cubic
Space group = Pm-3m

```
Na3HfPb
1.0
-2.861 4.172 -2.652
-4.574 -3.396 -0.407
-1.874 1.920 5.042
Pb Na Hf
1 3 1
Cartesian
0.000 0.000 0.000 Pb
-2.287 -1.698 -0.204 Na
-0.937 0.960 2.521 Na
-1.430 2.086 -1.326 Na
-4.655 1.348 0.991 Hf
```

=====

(5)
Here is a geometry-optimized NaHfPb2 structure from the Alexandria database. Energies are from PBE.

DOS at the Fermi energy = 2.31 states/eV/f.u.
Formation enthalpy at 0 K = 0.96 kcal/mol of atoms
Crystal system = tetragonal
Space group = P4/mmm

```
NaHfPb2
1.0
3.274 0.000 0.000
0.000 5.550 0.000
0.000 0.000 5.550
Pb Na Hf
2 1 1
Cartesian
0.000 0.000 2.775 Pb
0.000 2.775 0.000 Pb
1.637 2.775 2.775 Na
1.637 0.000 0.000 Hf
```

=====

(6)
Here is a geometry-optimized NaHfPb2 structure from the Alexandria database. Energies are from PBE.

DOS at the Fermi energy = 2.50 states/eV/f.u.
Formation enthalpy at 0 K = 0.98 kcal/mol of atoms
Crystal system = trigonal
Space group = R-3m

```
NaHfPb2
1.0
3.381 0.000 0.000
1.690 2.928 0.000
1.690 0.976 11.233
Pb Na Hf
2 1 1
Cartesian
1.690 0.976 8.167 Pb
5.071 2.928 3.066 Pb
0.000 0.000 0.000 Na
3.381 1.952 5.617 Hf
```

=====

Energy above the lowest structure with this stoichiometry / meV per atom: 0.0 268.4 278.3 0.0 115.3 116.1